# 1
An optimized crystal structure of TbTlAgHg. Source: Alexandria, functional PBE.

Magnetization in μB per formula unit: 0.00
Volume in Å³/atom: 23.4

Geometry as POSCAR:
```
TbTlAgHg
1.0
0.000 3.603 3.603
3.603 0.000 3.603
3.603 3.603 0.000
Tb Tl Ag Hg
1 1 1 1
Cartesian
0.000 0.000 0.000 Tb
1.802 1.802 1.802 Tl
3.603 3.603 3.603 Ag
5.405 5.405 5.405 Hg
```

=====

# 2
An optimized crystal structure of Nb2Co2Bi. Source: Alexandria, functional PBE.

Magnetization in μB per formula unit: 0.00
Volume in Å³/atom: 16.5

Geometry as POSCAR:
```
Nb2Co2Bi
1.0
7.227 0.000 0.000
0.000 7.227 0.000
0.000 0.000 3.166
Nb Co Bi
4 4 2
Cartesian
1.138 2.476 0.000 Nb
2.476 6.089 0.000 Nb
4.751 1.138 0.000 Nb
6.089 4.751 0.000 Nb
0.895 4.509 1.583 Co
2.718 0.895 1.583 Co
4.509 6.332 1.583 Co
6.332 2.718 1.583 Co
0.000 0.000 1.583 Bi
3.614 3.614 1.583 Bi
```

=====

# 3
An optimized crystal structure of BaNb2NiIr. Source: Alexandria, functional PBE.

Magnetization in μB per formula unit: 2.10
Volume in Å³/atom: 29.0

Geometry as POSCAR:
```
BaNb2NiIr
1.0
4.869 0.000 0.000
0.000 4.869 0.000
0.000 0.000 6.114
Ba Nb Ni Ir
1 2 1 1
Cartesian
0.000 0.000 0.000 Ba
0.000 2.435 3.057 Nb
2.435 0.000 3.057 Nb
2.435 2.435 0.000 Ni
0.000 0.000 3.057 Ir
```

=====

# 4
An optimized crystal structure of La5CePb6. Source: Alexandria, functional PBE.

Magnetization in μB per formula unit: 1.28
Volume in Å³/atom: 31.4

Geometry as POSCAR:
```
La5CePb6
1.0
5.182 0.000 0.000
0.000 9.316 0.000
-2.568 0.000 7.798
La Ce Pb
5 1 6
Cartesian
0.000 0.000 0.000 La
0.016 0.000 5.191 La
0.016 4.658 5.209 La
2.598 4.658 2.590 La
2.599 0.000 2.607 La
0.000 4.658 0.000 Ce
0.008 2.341 2.580 Pb
0.008 6.975 2.580 Pb
2.591 2.346 0.000 Pb
2.591 6.970 0.000 Pb
2.607 2.341 5.218 Pb
2.607 6.975 5.218 Pb
```

=====

Asked for total energy across the records above, the calculation gives -2.779; -7.538; -6.184; -4.956 eV/atom in order.
Asked for E_form across the records above, the calculation gives -0.242; 0.109; 1.157; -0.555 eV/atom in order.